WSeF2 | PBE+U | relaxed

Cell lengths 10.9808, 10.9808, 10.9808 Å; angles 15.43, 15.43, 15.43 degrees
With the nearest neighbours (Å) after each atom.
Atoms (fractional coordinates):
W: 0.0000 0.0000 0.0000  2 F 1.87
Se: 0.5000 0.5000 0.5000  6 Se 2.95
F: 0.0575 0.0575 0.0575  1 W 1.87
F: 0.9425 0.9425 0.9425  1 W 1.87

Calculated values
As for the energy above the most stable polymorph in this dataset: 0.000 eV/atom. Its crystal system is trigonal. Its space group is R-3m.